(1)
Density functional theory data (GGA-PBE) for K6Cd7 after structural relaxation.

a = 6.525 Å, b = 6.525 Å, c = 13.152 Å
α = 75.64°, β = 75.64°, γ = 60.00°
Sites, in units of the cell vectors:
K: 0.828 0.828 0.516
K: 0.172 0.172 0.484
K: 0.652 0.652 0.043
K: 0.348 0.348 0.957
K: 0.554 0.554 0.337
K: 0.446 0.446 0.663
Cd: 0.000 0.000 0.000
Cd: 0.905 0.401 0.789
Cd: 0.401 0.905 0.789
Cd: 0.905 0.905 0.789
Cd: 0.095 0.095 0.211
Cd: 0.095 0.599 0.211
Cd: 0.599 0.095 0.211

Calculated values
**Calculated density**: 3.65 Mg/m³
**E_form**: -3.3 kJ per mole of atoms
**Electronic total energy**: -1.0336 eV per atom
**Space-group type**: R-3m (166)

(2)
Density functional theory data (GGA-PBE) for Tb8Te4PSe3 after structural relaxation.

a = 8.390 Å, b = 8.541 Å, c = 8.390 Å
α = 119.42°, β = 120.00°, γ = 90.00°
Sites, in units of the cell vectors:
Tb: 0.230 0.712 0.982
Tb: 0.230 0.712 0.460
Tb: 0.261 0.283 0.522
Tb: 0.752 0.712 0.982
Tb: 0.248 0.288 0.018
Tb: 0.739 0.717 0.478
Tb: 0.770 0.288 0.540
Tb: 0.770 0.288 0.018
Te: 0.500 0.000 0.000
Te: 0.500 0.000 0.500
Te: 0.000 0.000 0.000
Te: 0.000 0.000 0.500
P: 0.000 0.500 0.000
Se: 0.500 0.500 0.000
Se: 0.500 0.500 0.500
Se: 0.000 0.500 0.500

Calculated values
**Calculated density**: 7.94 Mg/m³
**Formation energy (no corrections)**: -1.5774 eV/atom
**Electronic total energy**: -5.6694 eV per atom
**Space-group type**: R-3m (166)